Computed, not measured: a relaxed structure of Ac4Br5N2 at the PBE-GGA level of DFT.

The structure in POSCAR format:
```
Ac4Br5N2
1.0
-3.145 2.501 -0.185
-3.788 -5.208 -6.020
-4.484 -8.447 5.765
Ac Br N
4 5 2
Direct
0.648 0.456 0.296
0.022 0.284 0.044
0.352 0.544 0.704
0.978 0.716 0.956
0.174 0.154 0.348
0.826 0.846 0.652
0.197 0.679 0.395
0.500 0.000 0.000
0.803 0.321 0.605
0.929 0.497 0.858
0.071 0.503 0.142
```

Total DFT energy (no corrections) in eV/cell: -59.64
Formation energy (no corrections) in eV per atom: -1.65
Polymorph energy (0 for the lowest one) in meV per atom: 0.0
Volume in Å³/cell: 375